Computed, not measured: a geometry-optimized Ce3Pr3NdSe8 structure at the PBE level of DFT.

Output
Formation energy without anion corrections in eV per atom: -1.91
Crystal system: monoclinic
Raw total energy in eV for the cell shown: -186.9

Unit cell a=14.6654 b=8.4908 c=8.4766 alpha=90.00 beta=125.10 gamma=90.00
Space group C2/m (No. 12)
Symmetry-distinct sites (fractional):
Ce 0.0000 0.0000 0.0000 [2 per cell]
Ce 0.2500 0.2500 0.5000 [4 per cell]
Pr 0.0000 0.5000 0.5000 [2 per cell]
Pr 0.2500 0.2500 0.0000 [4 per cell]
Nd 0.0000 0.5000 0.0000 [2 per cell]
Se 0.0008 0.2478 0.2499 [8 per cell]
Se 0.2482 0.0000 0.2502 [4 per cell]
Se 0.2493 0.0000 0.7475 [4 per cell]